# Li3TaN3, optimized geometry, DFT PBE
data_Li3TaN3
_cell_length_a 5.9536
_cell_length_b 5.9536
_cell_length_c 7.2929
_cell_angle_alpha 90.00
_cell_angle_beta 90.00
_cell_angle_gamma 120.00
_symmetry_space_group_name_H-M 'R 3 m'
_symmetry_Int_Tables_number 160
_symmetry_space_group_name_Hall 'R 3 -2"'
loop_
_atom_site_label
_atom_site_type_symbol
_atom_site_fract_x
_atom_site_fract_y
_atom_site_fract_z
Li1 Li 0.1683 0.3365 0.0000
Ta1 Ta 0.0000 0.0000 0.6803
N1 N 0.0004 0.5002 0.1657
# Density, g cm⁻³: 5.425
# V, Å³ per cell: 223.9
# ΔE_f (raw), eV/atom: -0.708
# N(E_F), states/eV per atom: 0.12
# Calculated total energy, eV per atom: -6.79
# Spin magnetization, μB/cell: 0.00

=====

# LiNpN2, optimized geometry, DFT PBE
data_LiNpN2
_cell_length_a 4.3155
_cell_length_b 4.3155
_cell_length_c 11.1072
_cell_angle_alpha 90.00
_cell_angle_beta 90.00
_cell_angle_gamma 90.00
_symmetry_space_group_name_H-M 'I 41/a m d'
_symmetry_Int_Tables_number 141
loop_
_symmetry_equiv_pos_as_xyz
'x,y,z'
'-x,-y,-z'
'-y+1/4,x+3/4,z+1/4'
'y+1/4,-x+3/4,-z+1/4'
'-x+1/2,-y,z+1/2'
'x+1/2,y,-z+1/2'
'y+1/4,-x+1/4,z+3/4'
'-y+1/4,x+1/4,-z+3/4'
'x,-y,-z'
'-x,y,z'
'-y+1/4,-x+1/4,-z+3/4'
'y+1/4,x+1/4,z+3/4'
'-x+1/2,y,-z+1/2'
'x+1/2,-y,z+1/2'
'y+1/4,x+3/4,-z+1/4'
'-y+1/4,-x+3/4,z+1/4'
'x+1/2,y+1/2,z+1/2'
'-x+1/2,-y+1/2,-z+1/2'
'-y+3/4,x+1/4,z+3/4'
'y+3/4,-x+1/4,-z+3/4'
'-x,-y+1/2,z'
'x,y+1/2,-z'
'y+3/4,-x+3/4,z+1/4'
'-y+3/4,x+3/4,-z+1/4'
'x+1/2,-y+1/2,-z+1/2'
'-x+1/2,y+1/2,z+1/2'
'-y+3/4,-x+3/4,-z+1/4'
'y+3/4,x+3/4,z+1/4'
'-x,y+1/2,-z'
'x,-y+1/2,z'
'y+3/4,x+1/4,-z+3/4'
'-y+3/4,-x+1/4,z+3/4'
loop_
_atom_site_label
_atom_site_type_symbol
_atom_site_fract_x
_atom_site_fract_y
_atom_site_fract_z
Li1 Li 0.0000 0.2500 0.3750
Np1 Np 0.0000 0.2500 0.8750
N1 N 0.0000 0.2500 0.0828
# Density, g cm⁻³: 8.732
# V, Å³ per cell: 206.9
# ΔE_f (raw), eV/atom: -1.022
# N(E_F), states/eV per atom: 1.34
# Calculated total energy, eV per atom: -8.90
# Spin magnetization, μB/cell: 8.00

=====

# TlAgSe2, optimized geometry, DFT PBE
data_TlAgSe2
_cell_length_a 4.1373
_cell_length_b 4.1373
_cell_length_c 7.2620
_cell_angle_alpha 90.00
_cell_angle_beta 90.00
_cell_angle_gamma 120.00
_symmetry_space_group_name_H-M 'P 3 m 1'
_symmetry_Int_Tables_number 156
loop_
_symmetry_equiv_pos_as_xyz
'x,y,z'
'-y,x-y,z'
'-x+y,-x,z'
'-y,-x,z'
'-x+y,y,z'
'x,x-y,z'
loop_
_atom_site_label
_atom_site_type_symbol
_atom_site_fract_x
_atom_site_fract_y
_atom_site_fract_z
Tl1 Tl 0.0000 0.0000 0.0000
Ag1 Ag 0.3333 0.6667 0.4392
Se1 Se 0.3333 0.6667 0.7935
Se2 Se 0.6667 0.3333 0.2603
# Density, g cm⁻³: 7.252
# V, Å³ per cell: 107.7
# ΔE_f (raw), eV/atom: -0.097
# N(E_F), states/eV per atom: 0.37
# Calculated total energy, eV per atom: -3.14
# Spin magnetization, μB/cell: 0.00

=====

# Cr2H2Se, optimized geometry, DFT PBE
data_Cr2H2Se
_cell_length_a 2.9843
_cell_length_b 2.9843
_cell_length_c 9.9293
_cell_angle_alpha 90.00
_cell_angle_beta 90.00
_cell_angle_gamma 90.00
_symmetry_space_group_name_H-M 'I 4/m m m'
_symmetry_Int_Tables_number 139
_symmetry_space_group_name_Hall '-I 4 2'
loop_
_atom_site_label
_atom_site_type_symbol
_atom_site_fract_x
_atom_site_fract_y
_atom_site_fract_z
Cr1 Cr 0.0000 0.0000 0.1514
H1 H 0.0000 0.5000 0.2500
Se1 Se 0.0000 0.0000 0.5000
# Density, g cm⁻³: 6.946
# V, Å³ per cell: 88.4
# N(E_F), states/eV per atom: 0.46
# Calculated total energy, eV per atom: -5.81
# Spin magnetization, μB/cell: 0.00

=====

# LaAlRe2, optimized geometry, DFT PBE
data_LaAlRe2
_cell_length_a 9.0780
_cell_length_b 3.6833
_cell_length_c 5.4791
_cell_angle_alpha 90.00
_cell_angle_beta 104.02
_cell_angle_gamma 90.00
_symmetry_space_group_name_H-M 'C 1 2/m 1'
_symmetry_Int_Tables_number 12
loop_
_symmetry_equiv_pos_as_xyz
'x,y,z'
'-x,-y,-z'
'-x,y,-z'
'x,-y,z'
'x+1/2,y+1/2,z'
'-x+1/2,-y+1/2,-z'
'-x+1/2,y+1/2,-z'
'x+1/2,-y+1/2,z'
loop_
_atom_site_label
_atom_site_type_symbol
_atom_site_fract_x
_atom_site_fract_y
_atom_site_fract_z
La1 La 0.0000 0.0000 0.0000
Al1 Al 0.0000 0.5000 0.5000
Re1 Re 0.2411 0.0000 0.6357
# Density, g cm⁻³: 10.058
# V, Å³ per cell: 177.7
# N(E_F), states/eV per atom: 0.53
# Calculated total energy, eV per atom: -8.16
# Spin magnetization, μB/cell: 0.00
# Energy relative to the elements, eV per atom: 0.233

=====

# LaCe2PaAs4, optimized geometry, DFT PBE
data_LaCe2PaAs4
_cell_length_a 7.3076
_cell_length_b 4.2210
_cell_length_c 7.3306
_cell_angle_alpha 90.00
_cell_angle_beta 109.41
_cell_angle_gamma 90.00
_symmetry_space_group_name_H-M 'P 1 2/m 1'
_symmetry_Int_Tables_number 10
loop_
_symmetry_equiv_pos_as_xyz
'x,y,z'
'-x,-y,-z'
'-x,y,-z'
'x,-y,z'
loop_
_atom_site_label
_atom_site_type_symbol
_atom_site_fract_x
_atom_site_fract_y
_atom_site_fract_z
La1 La 0.0000 0.0000 0.0000
Ce1 Ce 0.5000 0.0000 0.5000
Ce2 Ce 0.5000 0.5000 0.0000
Pa1 Pa 0.0000 0.5000 0.5000
As1 As 0.2444 0.0000 0.7384
As2 As 0.2515 0.5000 0.2621
# Density, g cm⁻³: 7.396
# V, Å³ per cell: 213.3
# N(E_F), states/eV per atom: 1.91
# Calculated total energy, eV per atom: -6.97
# Spin magnetization, μB/cell: 2.14
# Energy relative to the elements, eV per atom: -1.356